[1]
The following is a PBE-GGA calculation of a relaxed structure of Hf3Al7Ir2, from the Alexandria database.

Unit cell a=5.2726 b=5.2726 c=8.9130 alpha=72.80 beta=72.80 gamma=60.00
Element x y z (fractional)
1 Al 0.5851 0.5851 0.7569
2 Al 0.5000 0.5000 0.5000
3 Al 0.4149 0.9271 0.2431
4 Al 0.0729 0.5851 0.7569
5 Ir 0.6644 0.6644 0.0068
6 Al 0.4149 0.4149 0.2431
7 Al 0.5851 0.0729 0.7569
8 Hf 0.1480 0.1480 0.5559
9 Hf 0.8520 0.8520 0.4441
10 Al 0.9271 0.4149 0.2431
11 Hf 0.0000 0.0000 0.0000
12 Ir 0.3356 0.3356 0.9932

## Properties
DOS at the Fermi energy	6.66	states/eV/f.u.
E_tot	-80.73	eV/f.u.
SG	R-3m
magnetization	0.00	μB/f.u.

---

[2]
The following is a PBE-GGA calculation of a relaxed structure of SrPtN2, from the Alexandria database.

Unit cell a=4.2283 b=4.2283 c=4.2283 alpha=60.00 beta=60.00 gamma=60.00
Element x y z (fractional)
1 Sr 0.0000 0.0000 0.0000
2 N 0.2500 0.2500 0.2500
3 N 0.7500 0.7500 0.7500
4 Pt 0.5000 0.5000 0.5000

## Properties
DOS at the Fermi energy	2.70	states/eV/f.u.
SG	Fm-3m
energy relative to the elements, uncorrected	0.89	eV/atom
magnetization	0.00	μB/f.u.

---

[3]
The following is a PBE-GGA calculation of a relaxed structure of Y6AgPd2, from the Alexandria database.

Unit cell a=8.5272 b=8.5272 c=8.5272 alpha=105.63 beta=110.72 gamma=112.13
Element x y z (fractional)
1 Y 0.7009 0.0291 0.3282
2 Pd 0.5000 0.3679 0.8679
3 Y 0.4627 0.2829 0.1798
4 Y 0.2991 0.6273 0.3282
5 Y 0.2991 0.9709 0.6718
6 Y 0.5373 0.7171 0.8202
7 Ag 0.0000 0.5000 0.5000
8 Y 0.8090 0.2408 0.0498
9 Ag 0.0000 0.0000 0.0000
10 Pd 0.5000 0.6321 0.1321
11 Pd 0.6575 0.0000 0.6575
12 Y 0.8090 0.7592 0.5682
13 Y 0.7009 0.3727 0.6718
14 Y 0.1910 0.2408 0.4318
15 Pd 0.3425 0.0000 0.3425
16 Y 0.1031 0.2829 0.8202
17 Y 0.8969 0.7171 0.1798
18 Y 0.1910 0.7592 0.9502

## Properties
DOS at the Fermi energy	10.22	states/eV/f.u.
E_tot	-56.30	eV/f.u.
SG	Immm
magnetization	0.00	μB/f.u.

---

[4]
The following is a PBE-GGA calculation of a relaxed structure of CePmAl6, from the Alexandria database.

Unit cell a=4.6434 b=6.4150 c=6.4150 alpha=120.00 beta=90.00 gamma=90.00
Site moments in Bohr magnetons follow the coordinates.
Element x y z (fractional)
1 Pm 0.0000 0.0833 0.9167  -0.01
2 Al 0.5000 0.8931 0.1069  0.00
3 Al 0.5000 0.4637 0.1070  0.00
4 Al 0.0000 0.0381 0.3941  0.00
5 Al 0.5000 0.8930 0.5363  0.00
6 Ce 0.5000 0.4166 0.5834  0.37
7 Al 0.0000 0.6059 0.9619  0.00
8 Al 0.0000 0.6058 0.3942  0.00

## Properties
DOS at the Fermi energy	6.07	states/eV/f.u.
E_tot	-36.60	eV/f.u.
SG	P-6m2
magnetization	0.38	μB/f.u.